DFT (GGA+U) results for an optimized crystal structure of Ta2CoO4.

For the total energy, the calculation gives -8.701 eV/atom.

The structure belongs to space group Fd-3m (No. 227, origin choice 2); the cell edges are 8.667, 8.667 and 8.667 Å and the angles 90.00°, 90.00° and 90.00°. Symmetry generates all atoms from Ta at (0.000, 0.000, 0.000), Co at (0.125, 0.125, 0.625) and O at (0.003, 0.003, 0.247).